(1)
Here is a geometry-optimized BaCaCo structure from Alexandria. Energies are from GGA-PBE.

Results
As for the relative energy among the computed polymorphs: 0.728 eV/atom. The calculated total energy comes out at -2.564 eV/atom. The formation energy comes out at 1.112 eV/atom. Its space-group type is F-43m, No. 216.

The structure in POSCAR format:
```
BaCaCo
1.0
-1.683 -0.302 4.879
-1.590 -4.533 1.910
2.837 -2.440 3.567
Ca Co Ba
1 1 1
direct
0.000 0.000 0.000 Ca
0.500 0.500 0.500 Co
0.750 0.750 0.750 Ba
```

(2)
Here is a geometry-optimized Sm4Ga2H structure from Alexandria. Energies are from GGA-PBE.

Results
As for the relative energy among the computed polymorphs: 0.036 eV/atom. The calculated total energy comes out at -4.449 eV/atom. Its space-group type is I4/mmm, No. 139.

The structure in POSCAR format:
```
Sm4Ga2H
1.0
-3.653 2.277 -1.606
0.677 -1.843 -4.154
-3.304 -6.493 4.883
H Ga Sm
1 2 4
direct
0.000 0.000 0.000 H
0.634 0.634 0.267 Ga
0.366 0.366 0.733 Ga
0.818 0.818 0.636 Sm
0.182 0.182 0.364 Sm
0.000 0.500 0.000 Sm
0.500 0.000 0.000 Sm
```

(3)
Here is a geometry-optimized Cu2POs structure from Alexandria. Energies are from GGA-PBE.

Results
The calculated total energy comes out at -5.796 eV/atom. The formation energy comes out at 0.411 eV/atom. Its space-group type is Cmmm, No. 65.

The structure in POSCAR format:
```
Cu2POs
1.0
-1.854 1.214 -1.554
-0.366 -0.273 2.668
3.863 7.569 1.306
Cu Os P
2 1 1
direct
0.000 0.000 0.989 Cu
0.000 0.000 0.511 Cu
0.500 0.500 0.250 Os
0.500 0.500 0.750 P
```

(4)
Here is a geometry-optimized BaY3Os structure from Alexandria. Energies are from GGA-PBE.

Results
As for the relative energy among the computed polymorphs: 0.000 eV/atom. The calculated total energy comes out at -6.562 eV/atom. The formation energy comes out at -0.053 eV/atom. Its space-group type is Pm-3m, No. 221.

The structure in POSCAR format:
```
BaY3Os
1.0
-3.763 1.364 3.863
-1.126 -5.387 0.806
3.939 -0.236 3.920
Y Os Ba
3 1 1
direct
0.000 0.500 0.000 Y
0.000 0.000 0.500 Y
0.500 0.000 0.000 Y
0.000 0.000 0.000 Os
0.500 0.500 0.500 Ba
```

(5)
Here is a geometry-optimized Ac4PaSb5 structure from Alexandria. Energies are from GGA-PBE.

Results
For the uncorrected formation energy, the calculation gives -10.29 eV/f.u. The calculated total energy comes out at -5.683 eV/atom. Its space-group type is I4/m, No. 87.

The structure in POSCAR format:
```
Ac4PaSb5
1.0
6.000 0.000 2.895
3.001 7.437 1.448
-0.231 0.000 8.146
Ac Pa Sb
4 1 5
direct
0.407 0.396 0.793 Ac
0.803 0.793 0.604 Ac
0.199 0.207 0.396 Ac
0.595 0.604 0.207 Ac
0.001 0.000 0.000 Pa
0.905 0.378 0.813 Sb
0.284 0.813 0.622 Sb
0.718 0.187 0.378 Sb
0.097 0.622 0.187 Sb
0.501 0.000 0.000 Sb
```

(6)
Here is a geometry-optimized Cd9Ag2Hg3 structure from Alexandria. Energies are from GGA-PBE.

Results
The calculated total energy comes out at -1.022 eV/atom. The formation energy comes out at 0.038 eV/atom. Its space-group type is Immm, No. 71.

The structure in POSCAR format:
```
Cd9Ag2Hg3
1.0
-1.679 -0.610 2.422
4.442 -11.367 2.088
9.206 -4.008 7.244
Cd Ag Hg
9 2 3
direct
0.000 0.500 0.500 Cd
0.716 0.927 0.641 Cd
0.284 0.073 0.359 Cd
0.716 0.641 0.927 Cd
0.284 0.359 0.073 Cd
0.890 0.859 0.362 Cd
0.110 0.141 0.638 Cd
0.890 0.362 0.859 Cd
0.110 0.638 0.141 Cd
0.500 0.253 0.747 Ag
0.500 0.747 0.253 Ag
0.000 0.000 0.000 Hg
0.664 0.336 0.336 Hg
0.336 0.664 0.664 Hg
```

(7)
Here is a geometry-optimized Ac2LaWN4 structure from Alexandria. Energies are from GGA-PBE.

Results
For the uncorrected formation energy, the calculation gives -6.32 eV/f.u. The calculated total energy comes out at -8.215 eV/atom. Its space-group type is Cmcm, No. 63.

The structure in POSCAR format:
```
Ac2LaWN4
1.0
3.595 0.000 0.000
-1.797 6.263 0.000
0.000 0.000 13.321
Ac La W N
4 2 2 8
direct
0.367 0.735 0.541 Ac
0.633 0.265 0.041 Ac
0.633 0.265 0.459 Ac
0.367 0.735 0.959 Ac
0.074 0.148 0.750 La
0.926 0.852 0.250 La
0.815 0.630 0.750 W
0.185 0.370 0.250 W
0.277 0.553 0.138 N
0.723 0.447 0.638 N
0.723 0.447 0.862 N
0.277 0.553 0.362 N
0.000 0.000 0.500 N
0.000 0.000 0.000 N
0.410 0.821 0.750 N
0.590 0.179 0.250 N
```

(8)
Here is a geometry-optimized FeSi2Ir structure from Alexandria. Energies are from GGA-PBE.

Results
For the uncorrected formation energy, the calculation gives -1.38 eV/f.u. The calculated total energy comes out at -7.387 eV/atom. Its space-group type is R3m, No. 160.

The structure in POSCAR format:
```
FeSi2Ir
1.0
-0.030 -3.421 1.438
1.873 -0.717 3.122
-3.005 -0.334 3.931
Fe Si Ir
1 2 1
direct
0.680 0.680 0.960 Fe
0.069 0.069 0.793 Si
0.261 0.261 0.216 Si
0.490 0.490 0.531 Ir
```

(9)
Here is a geometry-optimized Ce2PuNp3As6 structure from Alexandria. Energies are from GGA-PBE.

Results
The calculated total energy comes out at -8.695 eV/atom. The formation energy comes out at -0.952 eV/atom. Its space-group type is C2/m, No. 12.

The structure in POSCAR format:
```
Ce2PuNp3As6
1.0
-6.792 0.641 2.290
4.094 -5.462 2.280
3.016 5.374 3.679
Ce Pu Np As
2 1 3 6
direct
0.334 0.666 0.000 Ce
0.666 0.334 0.000 Ce
0.000 0.000 0.000 Pu
0.168 0.832 0.500 Np
0.832 0.168 0.500 Np
0.500 0.500 0.500 Np
0.915 0.584 0.744 As
0.755 0.755 0.257 As
0.085 0.416 0.256 As
0.584 0.915 0.744 As
0.245 0.245 0.743 As
0.416 0.085 0.256 As
```

(10)
Here is a geometry-optimized Ca2ZnIrOs structure from Alexandria. Energies are from GGA-PBE.

Results
The calculated total energy comes out at -4.579 eV/atom. The formation energy comes out at 0.494 eV/atom. Its space-group type is P4/mmm, No. 123.

The structure in POSCAR format:
```
Ca2ZnIrOs
1.0
5.472 0.000 0.000
0.000 4.720 0.000
0.000 0.000 5.472
Zn Ir Os Ca
1 1 1 2
direct
0.500 0.500 0.500 Zn
0.000 0.000 0.000 Ir
0.000 0.500 0.000 Os
0.000 0.000 0.500 Ca
0.500 0.000 0.000 Ca
```

(11)
Here is a geometry-optimized KH2O structure from Alexandria. Energies are from GGA-PBE.

Results
As for the relative energy among the computed polymorphs: 0.896 eV/atom. The calculated total energy comes out at -2.490 eV/atom. Its space-group type is Fm-3m, No. 225.

The structure in POSCAR format:
```
KH2O
1.0
0.000 2.811 2.811
2.811 0.000 2.811
2.811 2.811 0.000
H K O
2 1 1
direct
0.250 0.250 0.250 H
0.750 0.750 0.750 H
0.500 0.500 0.500 K
0.000 0.000 0.000 O
```

(12)
Here is a geometry-optimized Na12CdHg3 structure from Alexandria. Energies are from GGA-PBE.

Results
The calculated total energy comes out at -1.219 eV/atom. The formation energy comes out at -0.116 eV/atom. Its space-group type is P4/mmm, No. 123.

The structure in POSCAR format:
```
Na12CdHg3
1.0
4.874 0.000 0.000
0.000 4.874 0.000
0.000 0.000 19.649
Na Cd Hg
12 1 3
direct
0.500 0.500 0.000 Na
0.500 0.500 0.252 Na
0.500 0.500 0.500 Na
0.500 0.500 0.748 Na
0.500 0.000 0.128 Na
0.500 0.000 0.376 Na
0.500 0.000 0.624 Na
0.500 0.000 0.872 Na
0.000 0.500 0.128 Na
0.000 0.500 0.376 Na
0.000 0.500 0.624 Na
0.000 0.500 0.872 Na
0.000 0.000 0.000 Cd
0.000 0.000 0.252 Hg
0.000 0.000 0.500 Hg
0.000 0.000 0.748 Hg
```